# 1
Cs3TlAs2 | PBE-GGA | optimized geometry

Summary:
Space-group type = No. 12
ΔE_f = -234 meV per atom
Total magnetic moment = 0.0 μB/f.u.

```
12
Lattice="-1.051 -0.278 4.816 -8.391 -6.123 0.346 2.646 -12.240 2.402" Properties=species:S:1:pos:R:3 pbc="T T T"
Cs 0.782 -10.124 2.117
Cs -7.577 -8.517 5.447
Cs -3.760 -16.483 5.821
Cs -3.035 -2.158 1.744
Cs -6.066 -12.639 5.539
Cs -0.730 -6.002 2.025
Tl -2.767 -11.063 3.819
Tl -4.028 -7.578 3.745
As -2.669 -12.805 6.271
As -4.126 -5.836 1.293
As -1.450 -8.591 4.249
As -5.346 -10.050 3.315
```

---

# 2
CsTl2As | PBE-GGA | optimized geometry

Summary:
Space-group type = No. 225
ΔE_f = -1 meV per atom
Total magnetic moment = 0.0 μB/f.u.

```
4
Lattice="0.000 4.075 4.075 4.075 0.000 4.075 4.075 4.075 0.000" Properties=species:S:1:pos:R:3 pbc="T T T"
Cs 4.075 4.075 4.075
Tl 2.037 2.037 2.037
Tl 6.112 6.112 6.112
As 0.000 0.000 0.000
```

---

# 3
Cs2Tl2As | PBE-GGA | optimized geometry

Summary:
Space-group type = No. 12
ΔE_f = -220 meV per atom
Total magnetic moment = 0.0 μB/f.u.

```
10
Lattice="-5.955 -6.363 3.088 -2.607 -6.442 -4.461 3.186 -7.345 4.186" Properties=species:S:1:pos:R:3 pbc="T T T"
Cs -1.816 -11.073 3.328
Cs -3.559 -9.078 -0.515
Cs -4.667 -15.363 2.830
Cs -0.708 -4.788 -0.017
Tl -4.592 -7.948 4.033
Tl -4.040 -5.212 2.581
Tl 1.271 -8.496 4.693
Tl 1.823 -5.760 3.241
As -2.711 -5.530 -2.780
As -5.851 -7.275 1.408
```

---

# 4
CsTl3As | PBE-GGA | optimized geometry

Summary:
Space-group type = No. 62
ΔE_f = -145 meV per atom
Total magnetic moment = 0.0 μB/f.u.

```
20
Lattice="-1.872 -3.978 -0.171 9.864 -4.636 -0.136 -0.082 -0.628 15.468" Properties=species:S:1:pos:R:3 pbc="T T T"
Cs 6.296 -7.265 15.151
Cs 6.506 -4.602 7.513
Cs 1.404 -4.640 7.648
Cs 1.614 -1.977 0.010
Tl 4.853 -3.572 1.659
Tl 3.057 -5.670 13.502
Tl -0.101 -1.424 5.910
Tl 8.011 -7.818 9.250
Tl 3.774 -3.449 10.601
Tl -0.786 -3.402 2.832
Tl 8.696 -5.840 12.329
Tl 5.226 -6.574 10.797
Tl 2.684 -2.668 4.364
Tl 0.288 -4.303 12.032
Tl 4.136 -5.793 4.560
Tl 7.622 -4.939 3.129
As 0.761 -2.013 10.175
As 5.678 -4.442 12.838
As 2.232 -4.800 2.323
As 7.149 -7.229 4.985
```

---

# 5
Cs3TlAs | PBE-GGA | optimized geometry

Summary:
Space-group type = No. 221
ΔE_f = 74 meV per atom
Total magnetic moment = 2.2 μB/f.u.

```
5
Lattice="7.061 0.000 0.000 0.000 7.061 0.000 0.000 0.000 7.061" Properties=species:S:1:pos:R:3 pbc="T T T"
Cs 0.000 3.531 0.000
Cs 0.000 0.000 3.531
Cs 3.531 0.000 0.000
Tl 3.531 3.531 3.531
As 0.000 0.000 0.000
```

---

# 6
CsTl2As2 | PBE-GGA | optimized geometry

Summary:
Space-group type = No. 139
ΔE_f = -201 meV per atom
Total magnetic moment = 0.0 μB/f.u.

```
5
Lattice="-2.755 -0.941 4.396 -2.992 -3.463 -2.617 0.922 -6.572 2.332" Properties=species:S:1:pos:R:3 pbc="T T T"
Cs 0.000 0.000 0.000
Tl -2.353 -4.858 3.809
Tl -2.472 -6.119 0.302
As -2.096 -3.097 1.185
As -2.729 -7.880 2.926
```

---

Quick rundown of raw total energy, same order as above: -2.605; -2.560; -2.438; -2.665; -1.841; -3.178 eV per atom